Entry 1:
Density functional theory data (PBE) for RbBTe3 after structural relaxation.

Results
Space group ... Pm-3m (221)
Uncorrected energy ... -3.09 eV per atom
DOS at the Fermi energy ... 4.2 states/eV/f.u.

Cell and atoms, written as POSCAR:
```
RbBTe3
1.0
5.1731 0.0000 0.0000
0.0000 5.1731 0.0000
0.0000 0.0000 5.1731
B Te Rb
1 3 1
Direct
0.0000 0.0000 0.0000
0.0000 0.5000 0.0000
0.0000 0.0000 0.5000
0.5000 0.0000 0.0000
0.5000 0.5000 0.5000
```

Entry 2:
Density functional theory data (PBE) for Rb3BTe after structural relaxation.

Results
Space group ... Pm-3m (221)
Uncorrected energy ... -2.17 eV per atom
DOS at the Fermi energy ... 3.0 states/eV/f.u.

Cell and atoms, written as POSCAR:
```
Rb3BTe
1.0
-5.8394 -1.3227 -0.6373
-0.0123 -2.5694 5.4454
-1.4682 5.2824 2.4891
B Te Rb
1 1 3
Direct
0.0000 0.0000 0.0000
0.5000 0.5000 0.5000
0.0000 0.5000 0.0000
0.0000 0.0000 0.5000
0.5000 0.0000 0.0000
```

Entry 3:
Density functional theory data (PBE) for RbBTe3 after structural relaxation.

Results
Space group ... C2/c (15)
Uncorrected energy ... -3.58 eV per atom

Cell and atoms, written as POSCAR:
```
RbBTe3
1.0
-4.2297 -3.5975 -7.3963
4.5246 -6.6637 4.5454
-9.0864 -1.5761 6.2563
Rb B Te
4 4 12
Direct
0.0620 0.9380 0.2500
0.9380 0.0620 0.7500
0.6695 0.3305 0.2500
0.3305 0.6695 0.7500
0.8196 0.5891 0.8971
0.4109 0.1804 0.6029
0.1804 0.4109 0.1029
0.5891 0.8196 0.3971
0.0333 0.7720 0.9275
0.2280 0.9667 0.5725
0.9667 0.2280 0.0725
0.7720 0.0333 0.4275
0.8238 0.4393 0.7474
0.5607 0.1762 0.7526
0.1762 0.5607 0.2526
0.4393 0.8238 0.2474
0.6488 0.6223 0.0155
0.3777 0.3512 0.4845
0.3512 0.3777 0.9845
0.6223 0.6488 0.5155
```

Entry 4:
Density functional theory data (PBE) for Rb2B2Te after structural relaxation.

Results
Space group ... I4/mmm (139)
Uncorrected energy ... -2.78 eV per atom
DOS at the Fermi energy ... 1.3 states/eV/f.u.

Cell and atoms, written as POSCAR:
```
Rb2B2Te
1.0
3.2043 0.0000 0.0000
0.0000 3.2043 0.0000
1.6021 1.6021 11.3300
B Te Rb
2 1 2
Direct
0.7500 0.2500 0.5000
0.2500 0.7500 0.5000
0.0000 0.0000 0.0000
0.3739 0.3739 0.2522
0.6261 0.6261 0.7478
```

Entry 5:
Density functional theory data (PBE) for Rb2YBTe after structural relaxation.

Results
Space group ... P4/mmm (123)
Uncorrected energy ... -3.32 eV per atom
DOS at the Fermi energy ... 4.0 states/eV/f.u.

Cell and atoms, written as POSCAR:
```
Rb2YBTe
1.0
-0.8490 1.7132 -5.7763
-4.7945 0.1847 0.7595
0.4875 5.8338 1.6586
Y B Te Rb
1 1 1 2
Direct
0.0000 0.5000 0.0000
0.0000 0.0000 0.0000
0.5000 0.5000 0.5000
0.0000 0.0000 0.5000
0.5000 0.0000 0.0000
```

Entry 6:
Density functional theory data (PBE) for RbTiB after structural relaxation.

Results
Space group ... P6_3/mmc (194)
DOS at the Fermi energy ... 3.6 states/eV/f.u.
DFT formation energy ... 824 meV per atom

Cell and atoms, written as POSCAR:
```
RbTiB
1.0
-0.4671 3.2394 -1.8669
-1.1559 -3.2418 -1.5335
-10.9611 1.4341 5.2307
B Rb Ti
2 2 2
Direct
0.3333 0.6667 0.2500
0.6667 0.3333 0.7500
0.0000 0.0000 0.0000
0.0000 0.0000 0.5000
0.3333 0.6667 0.7500
0.6667 0.3333 0.2500
```

Entry 7:
Density functional theory data (PBE) for RbTi2B after structural relaxation.

Results
Space group ... Fm-3m (225)
DOS at the Fermi energy ... 0.4 states/eV/f.u.
DFT formation energy ... 1422 meV per atom

Cell and atoms, written as POSCAR:
```
RbTi2B
1.0
0.0000 3.1692 3.1692
3.1692 0.0000 3.1692
3.1692 3.1692 0.0000
B Rb Ti
1 1 2
Direct
0.0000 0.0000 0.0000
0.5000 0.5000 0.5000
0.2500 0.2500 0.2500
0.7500 0.7500 0.7500
```

Entry 8:
Density functional theory data (PBE) for RbTiB after structural relaxation.

Results
Space group ... C2/m (12)
DOS at the Fermi energy ... 1.9 states/eV/f.u.
DFT formation energy ... 173 meV per atom

Cell and atoms, written as POSCAR:
```
RbTiB
1.0
12.4940 0.0000 -0.0356
11.1467 1.7800 -3.7668
-11.1467 1.7800 3.7668
B Rb Ti
2 2 2
Direct
0.1519 0.4478 0.5522
0.8481 0.5522 0.4478
0.2573 0.0255 0.9745
0.7427 0.9745 0.0255
0.7219 0.1704 0.8296
0.2781 0.8296 0.1704
```

Entry 9:
Density functional theory data (PBE) for RbTiB after structural relaxation.

Results
Space group ... Pnma (62)
DOS at the Fermi energy ... 1.3 states/eV/f.u.
DFT formation energy ... 685 meV per atom

Cell and atoms, written as POSCAR:
```
RbTiB
1.0
8.1683 0.0000 0.0000
0.0000 3.8590 0.0000
0.0000 0.0000 10.7755
B Rb Ti
4 4 4
Direct
0.8720 0.2500 0.4256
0.6280 0.7500 0.9256
0.1280 0.7500 0.5744
0.3720 0.2500 0.0744
0.9808 0.2500 0.8161
0.5192 0.7500 0.3161
0.0192 0.7500 0.1839
0.4808 0.2500 0.6839
0.1215 0.2500 0.4787
0.3785 0.7500 0.9787
0.8785 0.7500 0.5213
0.6215 0.2500 0.0213
```

Entry 10:
Density functional theory data (PBE) for RbTi2B after structural relaxation.

Results
Space group ... I4_1/amd (141)
DOS at the Fermi energy ... 3.8 states/eV/f.u.
DFT formation energy ... 883 meV per atom

Cell and atoms, written as POSCAR:
```
RbTi2B
1.0
6.8705 0.0000 0.0000
0.0000 6.8705 0.0000
3.4352 3.4352 4.8655
B Rb Ti
2 2 4
Direct
0.5000 0.5000 0.0000
0.2500 0.7500 0.5000
0.0000 0.0000 0.0000
0.7500 0.2500 0.5000
0.3750 0.1250 0.2500
0.3750 0.6250 0.2500
0.3750 0.6250 0.7500
0.8750 0.6250 0.7500
```

Entry 11:
Density functional theory data (PBE) for RbTiB after structural relaxation.

Results
Space group ... P1 (1)
DOS at the Fermi energy ... 2.2 states/eV/f.u.
DFT formation energy ... 232 meV per atom

Cell and atoms, written as POSCAR:
```
RbTiB
1.0
4.2836 -0.0095 -0.0074
0.9114 11.2964 -0.0141
1.1435 0.2334 4.1217
B Rb Ti
2 2 2
Direct
0.9958 0.3653 0.9547
0.3190 0.3652 0.6316
0.0903 0.7044 0.7290
0.5098 0.1242 0.1403
0.4407 0.4204 0.0773
0.8557 0.4117 0.4921
```

Entry 12:
Density functional theory data (PBE) for Rb2TiB after structural relaxation.

Results
Space group ... I-42d (122)
DOS at the Fermi energy ... 4.7 states/eV/f.u.
DFT formation energy ... 1014 meV per atom

Cell and atoms, written as POSCAR:
```
Rb2TiB
1.0
-2.2327 -10.0847 -7.7435
8.7570 4.4805 -8.3600
4.8223 -3.9358 -7.0251
B Rb Ti
2 4 2
Direct
0.5000 0.5000 0.0000
0.2500 0.7500 0.5000
0.4350 0.1250 0.2500
0.3150 0.6250 0.2500
0.3750 0.5650 0.7500
0.8750 0.6850 0.7500
0.0000 0.0000 0.0000
0.7500 0.2500 0.5000
```

Entry 13:
Density functional theory data (PBE) for RbTiB after structural relaxation.

Results
Space group ... P6_3mc (186)
DOS at the Fermi energy ... 0.3 states/eV/f.u.
DFT formation energy ... 1453 meV per atom

Cell and atoms, written as POSCAR:
```
RbTiB
1.0
-3.1483 3.6313 0.3012
-1.4343 -4.3021 -1.6199
-1.2768 -1.5399 5.2203
B Rb Ti
2 2 2
Direct
0.3333 0.6667 0.0216
0.6667 0.3333 0.5216
0.0000 0.0000 0.7994
0.0000 0.0000 0.2994
0.3333 0.6667 0.4290
0.6667 0.3333 0.9290
```

Entry 14:
Density functional theory data (PBE) for RbTiB after structural relaxation.

Results
Space group ... P-1 (2)
DOS at the Fermi energy ... 1.6 states/eV/f.u.
DFT formation energy ... 279 meV per atom

Cell and atoms, written as POSCAR:
```
RbTiB
1.0
-2.8613 0.7256 -2.8763
-4.2894 -10.6290 -0.9035
-2.8953 0.1882 2.9277
B Rb Ti
2 2 2
Direct
0.5334 0.4207 0.0363
0.4666 0.5793 0.9637
0.8833 0.7798 0.3727
0.1167 0.2202 0.6273
0.0000 0.5000 0.0000
0.5000 0.5000 0.5000
```

Entry 15:
Density functional theory data (PBE) for RbTiB after structural relaxation.

Results
Space group ... F-43m (216)
DOS at the Fermi energy ... 0.6 states/eV/f.u.
DFT formation energy ... 1781 meV per atom

Cell and atoms, written as POSCAR:
```
RbTiB
1.0
-1.8879 2.9417 2.9451
-2.0105 3.8042 -1.5419
-4.5460 0.4269 0.2063
B Rb Ti
1 1 1
Direct
0.0000 0.0000 0.0000
0.2500 0.2500 0.2500
0.7500 0.7500 0.7500
```

Entry 16:
Density functional theory data (PBE) for RbTiB after structural relaxation.

Results
Space group ... Pnma (62)
DOS at the Fermi energy ... 0.8 states/eV/f.u.
DFT formation energy ... 813 meV per atom

Cell and atoms, written as POSCAR:
```
RbTiB
1.0
10.8775 0.0000 0.0000
0.0000 3.8266 0.0000
0.0000 0.0000 8.4373
B Rb Ti
4 4 4
Direct
0.9387 0.2500 0.8319
0.5613 0.7500 0.3319
0.0613 0.7500 0.1681
0.4387 0.2500 0.6681
0.8223 0.2500 0.4828
0.6777 0.7500 0.9828
0.1777 0.7500 0.5172
0.3223 0.2500 0.0172
0.4898 0.2500 0.3927
0.0102 0.7500 0.8927
0.5102 0.7500 0.6073
0.9898 0.2500 0.1073
```

Entry 17:
Density functional theory data (PBE) for RbTiB after structural relaxation.

Results
Space group ... P-6m2 (187)
DOS at the Fermi energy ... 4.9 states/eV/f.u.
DFT formation energy ... 827 meV per atom

Cell and atoms, written as POSCAR:
```
RbTiB
1.0
3.2672 -1.8863 0.0000
0.0000 3.7727 0.0000
0.0000 0.0000 6.1062
B Rb Ti
1 1 1
Direct
0.0000 0.0000 0.0000
0.6667 0.3333 0.5000
0.3333 0.6667 0.0000
```

Entry 18:
Density functional theory data (PBE) for Rb2TiB2 after structural relaxation.

Results
Space group ... I4/mmm (139)
DOS at the Fermi energy ... 4.7 states/eV/f.u.
DFT formation energy ... 1351 meV per atom

Cell and atoms, written as POSCAR:
```
Rb2TiB2
1.0
4.1447 0.0000 0.0000
0.0000 4.1447 0.0000
2.0723 2.0723 6.5274
B Rb Ti
2 2 1
Direct
0.4402 0.4402 0.1197
0.5598 0.5598 0.8803
0.7500 0.2500 0.5000
0.2500 0.7500 0.5000
0.0000 0.0000 0.0000
```

Entry 19:
Density functional theory data (PBE) for RbTiB after structural relaxation.

Results
Space group ... F-43m (216)
DOS at the Fermi energy ... 0.0 states/eV/f.u.
DFT formation energy ... 1837 meV per atom

Cell and atoms, written as POSCAR:
```
RbTiB
1.0
0.0000 3.1296 3.1296
3.1296 0.0000 3.1296
3.1296 3.1296 0.0000
B Rb Ti
1 1 1
Direct
0.7500 0.7500 0.7500
0.2500 0.2500 0.2500
0.5000 0.5000 0.5000
```

Entry 20:
Density functional theory data (PBE) for RbTiB after structural relaxation.

Results
Space group ... P-1 (2)
DOS at the Fermi energy ... 1.7 states/eV/f.u.
DFT formation energy ... 173 meV per atom

Cell and atoms, written as POSCAR:
```
RbTiB
1.0
4.3523 0.0054 -0.0030
-0.0193 11.7871 -0.0403
1.4610 0.0728 3.2453
B Rb Ti
2 2 2
Direct
0.3462 0.5474 0.0743
0.6538 0.4526 0.9257
0.2290 0.8075 0.6177
0.7710 0.1925 0.3823
0.7753 0.5626 0.3588
0.2247 0.4374 0.6412
```